Entry from Alexandria via LeMat-Bulk: crystalline Ga2NiPF at its relaxed geometry (PBE+U).

Output
Space group: P4/mmm
Total magnetic moment, μB per formula unit: 1.0
VASP energy, eV for the cell shown: -16.0

Unit cell a=4.6684 b=3.9382 c=4.6684 alpha=90.00 beta=90.00 gamma=90.00
Atoms (fractional coordinates):
Ni1 0.0000 0.5000 0.0000
F1 0.0000 0.0000 0.0000
Ga1 0.0000 0.0000 0.5000
Ga2 0.5000 0.0000 0.0000
P1 0.5000 0.5000 0.5000